MnCo3Pd: optimized geometry, PBE.

The excess energy over the best structure of this formula in the dataset is 311 meV/atom. The value obtained for the total energy is -5.723 eV/atom. The value obtained for the formation energy is 1.4131 eV per atom.

The space group is Pm-3m (No. 221) and the conventional cell measures 4.5335, 4.5335 and 4.5335 Å, with angles of 90.00, 90.00 and 90.00 degrees. Symmetry generates all atoms from Mn at (0.0000, 0.0000, 0.0000), Co at (0.0000, 0.5000, 0.5000) and Pd at (0.5000, 0.5000, 0.5000).

=====

Mg2MnCo: optimized geometry, PBE.

The excess energy over the best structure of this formula in the dataset is 252 meV/atom. The value obtained for the total energy is -4.530 eV/atom. The value obtained for the formation energy is 0.3361 eV per atom.

The space group is R-3m (No. 166, hexagonal axes) and the conventional cell measures 2.8653, 2.8653 and 27.2372 Å, with angles of 90.00, 90.00 and 120.00 degrees. Symmetry generates all atoms from Mg at (0.0000, 0.0000, 0.2449), Mn at (0.0000, 0.0000, 0.0000) and Co at (0.0000, 0.0000, 0.5000).